# La6SbBr8

An optimized crystal structure of La6SbBr8 (PBE-GGA, Alexandria via LeMat-Bulk).

CIF file:
```
data_La6SbBr8
_space_group_name_H-M_alt 'R -3'
_space_group_IT_number 148
_space_group_name_Hall '-R 3'
_cell_length_a 7.4907
_cell_length_b 7.4907
_cell_length_c 32.4826
_cell_angle_alpha 90.00
_cell_angle_beta 90.00
_cell_angle_gamma 120.00
loop_
_atom_site_label
_atom_site_type_symbol
_atom_site_fract_x
_atom_site_fract_y
_atom_site_fract_z
La1 La 0.9999 0.3438 0.0542
Sb1 Sb 0.0000 0.0000 0.0000
Br1 Br 0.0000 0.0000 0.3334
Br2 Br 0.9998 0.3240 0.8893
```

Summary:
* mass density: 5.03 g cm⁻³
* density of states at the Fermi level: 19.48 states/eV/cell
* formation energy from raw total energies: -1.61 eV/atom

***

# ReAgPd3

An optimized crystal structure of ReAgPd3 (PBE-GGA, Alexandria via LeMat-Bulk).

CIF file:
```
data_ReAgPd3
_space_group_name_H-M_alt 'P m -3 m'
_space_group_IT_number 221
_space_group_name_Hall '-P 4 2 3'
_cell_length_a 4.8075
_cell_length_b 4.8075
_cell_length_c 4.8075
_cell_angle_alpha 90.00
_cell_angle_beta 90.00
_cell_angle_gamma 90.00
loop_
_atom_site_label
_atom_site_type_symbol
_atom_site_fract_x
_atom_site_fract_y
_atom_site_fract_z
Re1 Re 0.0000 0.0000 0.0000
Ag1 Ag 0.5000 0.5000 0.5000
Pd1 Pd 0.0000 0.0000 0.5000
```

Summary:
* DFT formation energy: 1.18 eV per atom
* relative energy among the computed polymorphs: 0.0 kJ per mole of atoms
* mass density: 9.17 g cm⁻³
* density of states at the Fermi level: 4.63 states/eV/cell

***

# BeNiAs

An optimized crystal structure of BeNiAs (PBE-GGA, Alexandria via LeMat-Bulk).

CIF file:
```
data_BeNiAs
_space_group_name_H-M_alt 'F -4 3 m'
_space_group_IT_number 216
_space_group_name_Hall 'F -4 2 3'
_cell_length_a 5.3693
_cell_length_b 5.3693
_cell_length_c 5.3693
_cell_angle_alpha 90.00
_cell_angle_beta 90.00
_cell_angle_gamma 90.00
loop_
_atom_site_label
_atom_site_type_symbol
_atom_site_fract_x
_atom_site_fract_y
_atom_site_fract_z
Be1 Be 0.0000 0.0000 0.0000
Ni1 Ni 0.2500 0.2500 0.7500
As1 As 0.0000 0.0000 0.5000
```

Summary:
* DFT formation energy: -0.24 eV per atom
* relative energy among the computed polymorphs: 0.0 kJ per mole of atoms
* mass density: 6.12 g cm⁻³
* density of states at the Fermi level: 4.28 states/eV/cell

***

# NaTi2Pb2

An optimized crystal structure of NaTi2Pb2 (PBE-GGA, Alexandria via LeMat-Bulk).

CIF file:
```
data_NaTi2Pb2
_space_group_name_H-M_alt 'P 4/m b m'
_space_group_IT_number 127
_space_group_name_Hall '-P 4 2ab'
_cell_length_a 8.5553
_cell_length_b 8.5553
_cell_length_c 3.1696
_cell_angle_alpha 90.00
_cell_angle_beta 90.00
_cell_angle_gamma 90.00
loop_
_atom_site_label
_atom_site_type_symbol
_atom_site_fract_x
_atom_site_fract_y
_atom_site_fract_z
Na1 Na 0.0000 0.0000 0.0000
Ti1 Ti 0.1143 0.3857 0.0000
Pb1 Pb 0.1787 0.6787 0.5000
```

Summary:
* DFT formation energy: 0.08 eV per atom
* relative energy among the computed polymorphs: 0.0 kJ per mole of atoms
* mass density: 7.63 g cm⁻³
* density of states at the Fermi level: 3.74 states/eV/cell

***

# LaTl

An optimized crystal structure of LaTl (PBE-GGA, Alexandria via LeMat-Bulk).

CIF file:
```
data_LaTl
_space_group_name_H-M_alt 'I -4 3 m'
_space_group_IT_number 217
_space_group_name_Hall 'I -4 2 3'
_cell_length_a 9.6698
_cell_length_b 9.6698
_cell_length_c 9.6698
_cell_angle_alpha 90.00
_cell_angle_beta 90.00
_cell_angle_gamma 90.00
loop_
_atom_site_label
_atom_site_type_symbol
_atom_site_fract_x
_atom_site_fract_y
_atom_site_fract_z
La1 La 0.1947 0.1947 0.1947
Tl1 Tl 0.1222 0.1222 0.8778
```

Summary:
* DFT formation energy: 0.45 eV per atom
* mass density: 5.04 g cm⁻³
* density of states at the Fermi level: 31.11 states/eV/cell

***

# NdTiFe11C

An optimized crystal structure of NdTiFe11C (PBE-GGA, Alexandria via LeMat-Bulk).

CIF file:
```
data_NdTiFe11C
_space_group_name_H-M_alt 'I m m 2'
_space_group_IT_number 44
_cell_length_a 4.9430
_cell_length_b 8.5688
_cell_length_c 8.4978
_cell_angle_alpha 90.00
_cell_angle_beta 90.00
_cell_angle_gamma 90.00
loop_
_space_group_symop_operation_xyz
'x,y,z'
'-x,-y,z'
'-x,y,z'
'x,-y,z'
'x+1/2,y+1/2,z+1/2'
'-x+1/2,-y+1/2,z+1/2'
'-x+1/2,y+1/2,z+1/2'
'x+1/2,-y+1/2,z+1/2'
loop_
_atom_site_label
_atom_site_type_symbol
_atom_site_fract_x
_atom_site_fract_y
_atom_site_fract_z
Nd1 Nd 0.0000 0.0000 0.0000
Ti1 Ti 0.0000 0.0000 0.3742
Fe1 Fe 0.0000 0.0000 0.6485
Fe2 Fe 0.0000 0.2794 0.5090
Fe3 Fe 0.0000 0.3597 0.0066
Fe4 Fe 0.0000 0.5000 0.2808
Fe5 Fe 0.0000 0.5000 0.7306
Fe6 Fe 0.2495 0.2485 0.7559
C1 C 0.0000 0.5000 0.5052
```

Summary:
* DFT formation energy: -0.05 eV per atom
* mass density: 7.55 g cm⁻³
* density of states at the Fermi level: 18.53 states/eV/cell

***

Q: Look up the mass density of the fifth one.
A: 5.04 g cm⁻³